DFT (PBE) results for TcAs5 after structural relaxation.

Structure (POSCAR):
```
TcAs5
1.0
3.017 0.000 0.000
0.000 3.017 0.000
0.000 0.000 12.560
Tc As
1 5
direct
0.500 0.500 0.000 Tc
0.000 0.000 0.500 As
0.500 0.500 0.339 As
0.000 0.000 0.879 As
0.500 0.500 0.661 As
0.000 0.000 0.121 As
```

For the total magnetization, the calculation gives 0.000 μB per atom. The volume is 114.4 Å³/f.u. As for the relative energy among the computed polymorphs: 176.6 meV per atom. The raw total energy is -5.373 eV/atom. The value obtained for the formation energy is 0.229 eV/atom. Its crystal system is tetragonal.

DFT (PBE) results for Tl2NiSb after structural relaxation.

Structure (POSCAR):
```
Tl2NiSb
1.0
-0.822 4.245 -2.297
-2.875 1.441 3.691
5.211 6.428 4.796
Sb Tl Ni
2 4 2
direct
0.750 0.250 0.500 Sb
0.000 0.000 0.000 Sb
0.375 0.444 0.750 Tl
0.875 0.806 0.750 Tl
0.556 0.125 0.250 Tl
0.194 0.625 0.250 Tl
0.500 0.500 0.000 Ni
0.250 0.750 0.500 Ni
```

For the total magnetization, the calculation gives 0.000 μB per atom. The volume is 106.9 Å³/f.u. The formation energy without anion corrections comes out at 0.432 eV per atom. As for the relative energy among the computed polymorphs: 417.6 meV per atom. The raw total energy is -3.227 eV/atom. Its crystal system is tetragonal.

DFT (PBE) results for PrSm2In2Hg2 after structural relaxation.

Structure (POSCAR):
```
PrSm2In2Hg2
1.0
-0.479 -1.305 4.787
2.671 -3.790 1.830
7.446 4.126 4.465
Pr In Sm Hg
1 2 2 2
direct
0.000 0.000 0.000 Pr
0.267 0.267 0.199 In
0.733 0.733 0.801 In
0.132 0.132 0.605 Sm
0.868 0.868 0.395 Sm
0.576 0.576 0.272 Hg
0.424 0.424 0.728 Hg
```

For the total magnetization, the calculation gives 0.000 μB per atom. The volume is 197.4 Å³/f.u. The raw total energy is -3.216 eV/atom. The value obtained for the formation energy is -0.316 eV/atom. Its crystal system is trigonal.

DFT (PBE) results for Mg8Ni2Hg after structural relaxation.

Structure (POSCAR):
```
Mg8Ni2Hg
1.0
4.172 0.059 -1.253
-0.903 6.085 -2.887
0.237 -0.299 8.437
Mg Ni Hg
8 2 1
direct
0.984 0.167 0.605 Mg
0.270 0.326 0.175 Mg
0.402 0.817 0.439 Mg
0.780 0.001 0.197 Mg
0.198 0.651 0.031 Mg
0.913 0.492 0.461 Mg
0.623 0.228 0.884 Mg
0.559 0.590 0.752 Mg
0.780 0.608 0.196 Ni
0.402 0.211 0.441 Ni
0.091 0.909 0.818 Hg
```

For the total magnetization, the calculation gives 0.000 μB per atom. The volume is 212.5 Å³/f.u. As for the relative energy among the computed polymorphs: 0.0 meV per atom. The raw total energy is -2.357 eV/atom. The value obtained for the formation energy is -0.118 eV/atom. Its crystal system is triclinic.

DFT (PBE) results for Ac2PmNi after structural relaxation.

Structure (POSCAR):
```
Ac2PmNi
1.0
-3.819 3.363 -4.456
0.189 -5.832 -4.563
-8.670 -3.832 4.538
Ac Pm Ni
8 4 4
direct
0.675 0.823 0.570 Ac
0.325 0.177 0.070 Ac
0.325 0.177 0.430 Ac
0.175 0.677 0.070 Ac
0.675 0.823 0.930 Ac
0.175 0.677 0.430 Ac
0.825 0.323 0.930 Ac
0.825 0.323 0.570 Ac
0.664 0.542 0.250 Pm
0.164 0.958 0.750 Pm
0.836 0.042 0.250 Pm
0.336 0.458 0.750 Pm
0.450 0.878 0.250 Ni
0.550 0.122 0.750 Ni
0.050 0.378 0.250 Ni
0.950 0.622 0.750 Ni
```

For the total magnetization, the calculation gives 0.000 μB per atom. The volume is 131.6 Å³/f.u. As for the relative energy among the computed polymorphs: 0.0 meV per atom. The raw total energy is -4.816 eV/atom. The value obtained for the formation energy is -0.129 eV/atom. Its crystal system is orthorhombic.

DFT (PBE) results for NdS8Cl2 after structural relaxation.

Structure (POSCAR):
```
NdS8Cl2
1.0
-5.317 -0.183 5.004
7.663 -2.298 2.044
8.080 4.138 3.142
Cl S Nd
2 8 1
direct
0.382 0.113 0.151 Cl
0.618 0.887 0.849 Cl
0.868 0.775 0.403 S
0.914 0.372 0.927 S
0.132 0.225 0.597 S
0.079 0.575 0.691 S
0.405 0.479 0.578 S
0.086 0.628 0.073 S
0.921 0.425 0.309 S
0.595 0.521 0.422 S
0.000 0.000 0.000 Nd
```

For the total magnetization, the calculation gives 0.000 μB per atom. The volume is 336.3 Å³/f.u. The formation energy without anion corrections comes out at -0.487 eV per atom. The raw total energy is -4.258 eV/atom. Its crystal system is triclinic.

DFT (PBE) results for Pa4GaC after structural relaxation.

Structure (POSCAR):
```
Pa4GaC
1.0
-3.046 -0.350 -1.123
0.114 -6.457 1.703
-2.405 1.709 5.991
Pa Ga C
4 1 1
direct
0.500 0.752 0.248 Pa
0.500 0.248 0.752 Pa
0.000 0.811 0.811 Pa
0.000 0.189 0.189 Pa
0.000 0.500 0.500 Ga
0.500 0.000 0.000 C
```

For the total magnetization, the calculation gives 0.000 μB per atom. The volume is 145.6 Å³/f.u. The raw total energy is -8.228 eV/atom. The value obtained for the formation energy is 0.145 eV/atom. Its crystal system is orthorhombic.

DFT (PBE) results for Li2MgTl4 after structural relaxation.

Structure (POSCAR):
```
Li2MgTl4
1.0
5.726 -0.058 -2.050
-2.871 4.982 -1.981
-0.033 0.058 6.082
Li Tl Mg
2 4 1
direct
0.500 0.000 0.500 Li
0.500 0.500 0.000 Li
0.500 0.000 0.000 Tl
0.000 0.500 0.000 Tl
0.500 0.500 0.500 Tl
0.000 0.000 0.500 Tl
0.000 0.000 0.000 Mg
```

For the total magnetization, the calculation gives 0.000 μB per atom. The volume is 173.1 Å³/f.u. The raw total energy is -2.226 eV/atom. The value obtained for the formation energy is -0.099 eV/atom. Its crystal system is tetragonal.

DFT (PBE) results for Li2Pr2Al15 after structural relaxation.

Structure (POSCAR):
```
Li2Pr2Al15
1.0
-3.527 4.136 4.603
-1.033 -4.991 4.976
5.606 1.697 4.053
Al Li Pr
15 2 2
direct
0.000 0.706 0.294 Al
0.706 0.294 0.000 Al
0.650 0.650 0.154 Al
0.294 0.706 0.000 Al
0.000 0.294 0.706 Al
0.350 0.846 0.350 Al
0.500 0.000 0.000 Al
0.650 0.154 0.650 Al
0.154 0.650 0.650 Al
0.706 0.000 0.294 Al
0.846 0.350 0.350 Al
0.294 0.000 0.706 Al
0.000 0.000 0.500 Al
0.350 0.350 0.846 Al
0.000 0.500 0.000 Al
0.100 0.100 0.100 Li
0.900 0.900 0.900 Li
0.351 0.351 0.351 Pr
0.649 0.649 0.649 Pr
```

For the total magnetization, the calculation gives 0.000 μB per atom. The volume is 354.5 Å³/f.u. The raw total energy is -3.853 eV/atom. The value obtained for the formation energy is -0.193 eV/atom. Its crystal system is trigonal.

DFT (PBE) results for AlSnHgBi after structural relaxation.

Structure (POSCAR):
```
AlSnHgBi
1.0
-4.018 -1.743 3.038
-2.838 -4.250 -1.515
0.466 -4.600 2.654
Bi Hg Sn Al
1 1 1 1
direct
0.750 0.750 0.750 Bi
0.250 0.250 0.250 Hg
0.500 0.500 0.500 Sn
0.000 0.000 0.000 Al
```

For the total magnetization, the calculation gives 0.000 μB per atom. The volume is 107.1 Å³/f.u. The raw total energy is -2.760 eV/atom. The value obtained for the formation energy is 0.222 eV/atom. Its crystal system is cubic.

Question: The highest volume belongs to which entry?
Answer: Li2Pr2Al15

Question: The lowest raw total energy belongs to which entry?
Answer: Pa4GaC

Question: Number 8 is which compound?
Answer: Li2MgTl4